Version one
Here is a relaxed Ce3TlOs crystal from Alexandria. Energies are from GGA-PBE.

Structure (POSCAR):
```
Ce3TlOs
1.0
5.4004 0.0000 0.0000
0.0000 5.4004 0.0000
0.0000 0.0000 5.4004
Tl Ce Os
1 3 1
Cartesian
2.7002 2.7002 2.7002 Tl
2.7002 0.0000 0.0000 Ce
0.0000 0.0000 2.7002 Ce
0.0000 2.7002 0.0000 Ce
0.0000 0.0000 0.0000 Os
```

Calculated values
SG: Pm-3m

---

Version two
Here is a relaxed Ce3TlOs crystal from Alexandria. Energies are from GGA-PBE.

Structure (POSCAR):
```
Ce3TlOs
1.0
-2.8692 1.3912 -0.7836
-0.3021 -4.9762 -7.7284
-4.2471 -8.0633 1.2359
Ce Tl Os
6 2 2
Cartesian
-3.6937 -8.5306 -1.6202 Ce
-3.7247 -3.1177 -5.6560 Ce
-1.7197 -6.9859 -6.1057 Ce
-3.4093 -9.7718 -4.8656 Ce
-4.0092 -1.8765 -2.4106 Ce
-5.6988 -4.6625 -1.1704 Ce
-3.7092 -5.8242 -3.6381 Tl
-1.4346 0.6956 -0.3918 Tl
-3.5582 -3.3361 0.2261 Os
-1.5857 -1.7925 -4.2560 Os
```

Calculated values
SG: Cmmm

---

Which one sits at the top of the stability order? version two does.

---

Version one
Here is a relaxed CeYTlOs crystal from Alexandria. Energies are from GGA-PBE.

Structure (POSCAR):
```
CeYTlOs
1.0
3.3829 0.0000 0.0000
0.0000 3.3829 0.0000
0.0000 0.0000 8.5102
Ce Y Os Tl
1 1 1 1
Cartesian
1.6915 1.6915 3.1385 Ce
1.6915 1.6915 6.6134 Y
0.0000 0.0000 4.8694 Os
0.0000 0.0000 0.5670 Tl
```

Calculated values
SG: P4mm

---

Version two
Here is a relaxed CeYTlOs crystal from Alexandria. Energies are from GGA-PBE.

Structure (POSCAR):
```
CeYTlOs
1.0
-3.8424 -0.4808 3.3730
1.0278 -0.5609 5.0002
-1.0322 3.8165 3.2775
Os Tl Y Ce
1 1 1 1
Cartesian
-1.9234 1.3874 5.8253 Os
0.0000 0.0000 0.0000 Tl
-2.8851 2.0811 8.7380 Y
-0.9617 0.6937 2.9127 Ce
```

Calculated values
SG: F-43m

---

Which one sits at the top of the stability order? version one does.

---

Version one
Here is a relaxed Ce2TmOs crystal from Alexandria. Energies are from GGA-PBE.

Structure (POSCAR):
```
Ce2TmOs
1.0
-0.5084 0.7843 -3.6099
-3.4490 0.1323 -1.4115
-1.8421 10.0514 0.5173
Tm Ce Os
1 2 1
Cartesian
0.0000 0.0000 0.0000 Tm
-1.6697 6.8393 -0.2049 Ce
-4.1297 4.1286 -4.2993 Ce
-2.8997 5.4840 -2.2521 Os
```

Calculated values
SG: R-3m

---

Version two
Here is a relaxed Ce2TmOs crystal from Alexandria. Energies are from GGA-PBE.

Structure (POSCAR):
```
Ce2TmOs
1.0
-0.4394 0.5735 3.7260
5.6948 -1.0851 -1.0938
1.5458 9.3854 -1.2623
Ce Os Tm
4 2 2
Cartesian
5.3972 8.2482 -0.6327 Ce
1.4040 0.6256 2.0026 Ce
4.8095 4.6797 -0.1527 Ce
1.9917 4.1941 1.5227 Ce
2.7207 2.0059 0.0118 Os
4.0805 6.8679 1.3582 Os
2.0077 6.9154 -0.8266 Tm
4.7935 1.9584 2.1965 Tm
```

Calculated values
SG: Cmcm

---

Version three
Here is a relaxed Ce2TmOs crystal from Alexandria. Energies are from GGA-PBE.

Structure (POSCAR):
```
Ce2TmOs
1.0
-1.4836 1.1607 3.2325
-1.2184 -3.4700 0.6868
6.1060 -1.4839 3.3354
Ce Os Tm
2 1 1
Cartesian
4.9132 -1.1940 2.6838 Ce
1.1928 -0.2899 0.6516 Ce
-1.3510 -1.1546 1.9596 Os
1.7020 -1.8966 3.6273 Tm
```

Calculated values
SG: P4/mmm

---

Which one sits at the top of the stability order? version two does.

---

Version one
Here is a relaxed CeTm2Os crystal from Alexandria. Energies are from GGA-PBE.

Structure (POSCAR):
```
CeTm2Os
1.0
-5.4430 -3.0730 0.8931
3.5230 -6.2842 -0.1518
1.2340 0.4709 9.1415
Os Ce Tm
4 4 8
Cartesian
1.4464 -2.2912 2.2559 Os
0.8094 -6.7874 2.5735 Os
-2.1323 -6.5951 7.6269 Os
-1.4953 -2.0988 7.3092 Os
3.5039 -6.0624 6.8386 Ce
-1.2538 -5.3028 2.7755 Ce
-4.1899 -2.8238 3.0442 Ce
0.5679 -3.5834 7.1072 Ce
-0.6724 -1.9006 4.2528 Tm
1.9988 -4.5291 4.0276 Tm
1.5410 -4.7038 0.6363 Tm
0.4443 -6.8110 9.0212 Tm
-0.0135 -6.9857 5.6299 Tm
-2.6847 -4.3572 5.8551 Tm
-1.1302 -2.0753 0.8615 Tm
-2.2269 -4.1825 9.2464 Tm
```

Calculated values
SG: Pnma

---

Version two
Here is a relaxed CeTm2Os crystal from Alexandria. Energies are from GGA-PBE.

Structure (POSCAR):
```
CeTm2Os
1.0
-1.9378 0.2238 -2.6021
0.8824 -1.3824 -2.8082
-5.3295 -9.5013 1.1196
Os Tm Ce
1 2 1
Cartesian
-3.1924 -5.3300 -2.1454 Os
-2.5775 -3.9460 -4.5164 Tm
-3.8073 -6.7139 0.2257 Tm
0.0000 0.0000 0.0000 Ce
```

Calculated values
SG: R-3m

---

Which one sits at the top of the stability order? version one does.